This record from Alexandria describes an optimized crystal structure of ZrZn2Tc. The functional is PBE-GGA.

Output
Volume   65 Å³/cell
Final energy   -5.3939 eV per atom
Polymorph energy (0 for the lowest one)   0.77 eV per formula unit
ΔE_f   -28 meV/atom
SG   C2/m

Unit cell a=5.132 b=5.132 c=2.774 alpha=93.41 beta=93.41 gamma=116.55
Fractional positions:
Zr  0.000  0.000  0.000
Zn  0.000  0.500  0.500
Zn  0.500  0.000  0.500
Tc  0.500  0.500  0.000

=====

This record from Alexandria describes an optimized crystal structure of Er2Be2AlPd5. The functional is PBE-GGA.

Output
Volume   314 Å³/cell
Final energy   -5.4424 eV per atom
ΔE_f   -814 meV/atom
SG   P4/mbm

Unit cell a=9.596 b=9.596 c=3.406 alpha=90.00 beta=90.00 gamma=90.00
Fractional positions:
Er  0.177  0.323  0.000
Er  0.323  0.823  0.000
Er  0.677  0.177  0.000
Er  0.823  0.677  0.000
Be  0.120  0.620  0.000
Be  0.380  0.120  0.000
Be  0.620  0.880  0.000
Be  0.880  0.380  0.000
Al  0.000  0.000  0.000
Al  0.500  0.500  0.000
Pd  0.000  0.500  0.500
Pd  0.067  0.788  0.500
Pd  0.212  0.067  0.500
Pd  0.288  0.567  0.500
Pd  0.433  0.288  0.500
Pd  0.500  0.000  0.500
Pd  0.567  0.712  0.500
Pd  0.712  0.433  0.500
Pd  0.788  0.933  0.500
Pd  0.933  0.212  0.500

=====

Which formula does entry 2 have?
Er2Be2AlPd5

=====

What is the formula in the second record?
Er2Be2AlPd5

=====

Among the records above, which one has the lowest final energy?
Er2Be2AlPd5